The following is a PBE calculation of a relaxed YMg2Cr crystal, from Alexandria via LeMat-Bulk.

Lattice parameters (Å, degrees): 5.052 5.052 5.052 60.00 60.00 60.00
Sites, in units of the cell vectors:
1 Y 0.000 0.000 0.000
2 Mg 0.250 0.250 0.250
3 Mg 0.500 0.500 0.500
4 Cr 0.750 0.750 0.750

Calculated values
Magnetic moment in μB per formula unit: 4.55
SG: F-43m
E_form in meV per atom: 182
Fermi-level density of states in states/eV/cell: 2.2